Record 1
The following is a DFT calculation (GGA-PBE) of an optimized crystal structure of CeHf4S8.

Values from the calculation:
- Density of states at the Fermi level: 15.66 states/eV/f.u.
- Formation energy without anion corrections: -19.7 eV/f.u.
- Crystal system: cubic
- Calculated volume: 23.6 Å³/atom

Unit cell a=7.575 b=7.575 c=7.575 alpha=60.00 beta=60.00 gamma=60.00
Last column: magnetic moment on the atom in μB.
Fractional positions:
1 S 0.608 0.608 0.177  -0.01
2 S 0.127 0.619 0.127  0.00
3 S 0.127 0.127 0.127  0.00
4 S 0.608 0.608 0.608  -0.01
5 Ce 0.750 0.750 0.750  0.76
6 S 0.127 0.127 0.619  0.00
7 Hf 0.911 0.363 0.363  -0.01
8 Hf 0.363 0.363 0.363  -0.01
9 S 0.608 0.177 0.608  -0.01
10 S 0.619 0.127 0.127  0.00
11 Hf 0.363 0.363 0.911  -0.01
12 S 0.177 0.608 0.608  -0.01
13 Hf 0.363 0.911 0.363  -0.01

***

Record 2
The following is a DFT calculation (GGA-PBE) of an optimized crystal structure of CdPdIO2.

Values from the calculation:
- Density of states at the Fermi level: 6.50 states/eV/f.u.
- Formation energy without anion corrections: 1.4 eV/f.u.
- Crystal system: tetragonal
- Calculated volume: 23.5 Å³/atom

Unit cell a=4.076 b=4.076 c=7.072 alpha=90.00 beta=90.00 gamma=90.00
Last column: magnetic moment on the atom in μB.
Fractional positions:
1 Pd 0.500 0.500 0.500  0.20
2 O 0.500 0.000 0.000  0.53
3 O 0.000 0.500 0.000  0.53
4 I 0.000 0.000 0.500  0.03
5 Cd 0.000 0.000 0.000  0.01